Compound: KCa2Si
Source: Alexandria
Functional: GGA-PBEsol
Structure: relaxed

Structure (CIF):
```
data_KCa2Si
_chemical_formula_sum 'K4 Ca8 Si4'
_symmetry_space_group_name_H-M 'F -4 3 m'
_symmetry_Int_Tables_number 216
_symmetry_space_group_name_Hall 'F -4 2 3'
_cell_length_a 7.7946
_cell_length_b 7.7946
_cell_length_c 7.7946
_cell_angle_alpha 90.00
_cell_angle_beta 90.00
_cell_angle_gamma 90.00
loop_
_atom_site_label
_atom_site_type_symbol
_atom_site_fract_x
_atom_site_fract_y
_atom_site_fract_z
K1 K 0.0000 0.0000 0.0000
Ca1 Ca 0.0000 0.0000 0.5000
Ca2 Ca 0.2500 0.2500 0.2500
Si1 Si 0.2500 0.2500 0.7500
```

Computed properties:
crystal system	cubic
density of states at the Fermi level	0.556	states/eV/atom

Compound: KCaSi
Source: Alexandria
Functional: GGA-PBEsol
Structure: relaxed

Structure (CIF):
```
data_KCaSi
_chemical_formula_sum 'K2 Ca2 Si2'
_symmetry_space_group_name_H-M 'I m m 2'
_symmetry_Int_Tables_number 44
_cell_length_a 3.5603
_cell_length_b 4.4390
_cell_length_c 12.2195
_cell_angle_alpha 90.00
_cell_angle_beta 90.00
_cell_angle_gamma 90.00
loop_
_symmetry_equiv_pos_as_xyz
'x,y,z'
'-x,-y,z'
'-x,y,z'
'x,-y,z'
'x+1/2,y+1/2,z+1/2'
'-x+1/2,-y+1/2,z+1/2'
'-x+1/2,y+1/2,z+1/2'
'x+1/2,-y+1/2,z+1/2'
loop_
_atom_site_label
_atom_site_type_symbol
_atom_site_fract_x
_atom_site_fract_y
_atom_site_fract_z
K1 K 0.0000 0.0000 0.0000
Ca1 Ca 0.0000 0.0000 0.7370
Si1 Si 0.0000 0.0000 0.3072
```

Computed properties:
crystal system	orthorhombic
density of states at the Fermi level	0.857	states/eV/atom

Compound: K2CaSi
Source: Alexandria
Functional: GGA-PBEsol
Structure: relaxed

Structure (CIF):
```
data_K2CaSi
_chemical_formula_sum 'K4 Ca2 Si2'
_symmetry_space_group_name_H-M 'I m m 2'
_symmetry_Int_Tables_number 44
_cell_length_a 5.5412
_cell_length_b 5.5514
_cell_length_c 7.8492
_cell_angle_alpha 90.00
_cell_angle_beta 90.00
_cell_angle_gamma 90.00
loop_
_symmetry_equiv_pos_as_xyz
'x,y,z'
'-x,-y,z'
'-x,y,z'
'x,-y,z'
'x+1/2,y+1/2,z+1/2'
'-x+1/2,-y+1/2,z+1/2'
'-x+1/2,y+1/2,z+1/2'
'x+1/2,-y+1/2,z+1/2'
loop_
_atom_site_label
_atom_site_type_symbol
_atom_site_fract_x
_atom_site_fract_y
_atom_site_fract_z
K1 K 0.0000 0.0000 0.0000
K2 K 0.0000 0.5000 0.2500
Ca1 Ca 0.0000 0.0000 0.4995
Si1 Si 0.0000 0.5000 0.7501
```

Computed properties:
crystal system	orthorhombic

Compound: KCa2Si
Source: Alexandria
Functional: GGA-PBEsol
Structure: relaxed

Structure (CIF):
```
data_KCa2Si
_chemical_formula_sum 'K2 Ca4 Si2'
_symmetry_space_group_name_H-M 'C 1 2/m 1'
_symmetry_Int_Tables_number 12
_cell_length_a 8.1058
_cell_length_b 4.6680
_cell_length_c 9.3062
_cell_angle_alpha 90.00
_cell_angle_beta 106.45
_cell_angle_gamma 90.00
loop_
_symmetry_equiv_pos_as_xyz
'x,y,z'
'-x,-y,-z'
'-x,y,-z'
'x,-y,z'
'x+1/2,y+1/2,z'
'-x+1/2,-y+1/2,-z'
'-x+1/2,y+1/2,-z'
'x+1/2,-y+1/2,z'
loop_
_atom_site_label
_atom_site_type_symbol
_atom_site_fract_x
_atom_site_fract_y
_atom_site_fract_z
K1 K 0.0000 0.0000 0.0000
Ca1 Ca 0.2093 0.0000 0.6306
Si1 Si 0.0000 0.5000 0.5000
```

Computed properties:
crystal system	monoclinic
density of states at the Fermi level	0.309	states/eV/atom

Compound: K2CaYSn
Source: Alexandria
Functional: GGA-PBEsol
Structure: relaxed

Structure (CIF):
```
data_K2CaYSn
_chemical_formula_sum 'K2 Ca1 Y1 Sn1'
_symmetry_space_group_name_H-M 'P 4/m m m'
_symmetry_Int_Tables_number 123
_symmetry_space_group_name_Hall '-P 4 2'
_cell_length_a 6.4292
_cell_length_b 6.4292
_cell_length_c 5.9952
_cell_angle_alpha 90.00
_cell_angle_beta 90.00
_cell_angle_gamma 90.00
loop_
_atom_site_label
_atom_site_type_symbol
_atom_site_fract_x
_atom_site_fract_y
_atom_site_fract_z
K1 K 0.0000 0.5000 0.0000
Ca1 Ca 0.0000 0.0000 0.5000
Y1 Y 0.5000 0.5000 0.5000
Sn1 Sn 0.0000 0.0000 0.0000
```

Computed properties:
crystal system	tetragonal
density of states at the Fermi level	0.969	states/eV/atom
energy relative to the elements	530	meV/atom

Compound: KSrCa2
Source: Alexandria
Functional: GGA-PBEsol
Structure: relaxed

Structure (CIF):
```
data_KSrCa2
_chemical_formula_sum 'K1 Sr1 Ca2'
_symmetry_space_group_name_H-M 'P m m m'
_symmetry_Int_Tables_number 47
_cell_length_a 4.3626
_cell_length_b 6.6144
_cell_length_c 6.6412
_cell_angle_alpha 90.00
_cell_angle_beta 90.00
_cell_angle_gamma 90.00
loop_
_symmetry_equiv_pos_as_xyz
'x,y,z'
'-x,-y,-z'
'-x,-y,z'
'x,y,-z'
'x,-y,-z'
'-x,y,z'
'-x,y,-z'
'x,-y,z'
loop_
_atom_site_label
_atom_site_type_symbol
_atom_site_fract_x
_atom_site_fract_y
_atom_site_fract_z
K1 K 0.0000 0.0000 0.0000
Sr1 Sr 0.5000 0.5000 0.0000
Ca1 Ca 0.0000 0.5000 0.5000
Ca2 Ca 0.5000 0.0000 0.5000
```

Computed properties:
E above lowest polymorph	0.057	eV/atom
crystal system	orthorhombic
density of states at the Fermi level	0.960	states/eV/atom
energy relative to the elements	140	meV/atom

Compound: KSrCa2
Source: Alexandria
Functional: GGA-PBEsol
Structure: relaxed

Structure (CIF):
```
data_KSrCa2
_chemical_formula_sum 'K2 Sr2 Ca4'
_symmetry_space_group_name_H-M 'C 1 2/m 1'
_symmetry_Int_Tables_number 12
_cell_length_a 7.9328
_cell_length_b 13.0352
_cell_length_c 3.9280
_cell_angle_alpha 90.00
_cell_angle_beta 108.81
_cell_angle_gamma 90.00
loop_
_symmetry_equiv_pos_as_xyz
'x,y,z'
'-x,-y,-z'
'-x,y,-z'
'x,-y,z'
'x+1/2,y+1/2,z'
'-x+1/2,-y+1/2,-z'
'-x+1/2,y+1/2,-z'
'x+1/2,-y+1/2,z'
loop_
_atom_site_label
_atom_site_type_symbol
_atom_site_fract_x
_atom_site_fract_y
_atom_site_fract_z
K1 K 0.0000 0.0000 0.0000
Sr1 Sr 0.0000 0.5000 0.0000
Ca1 Ca 0.2500 0.2500 0.5000
```

Computed properties:
E above lowest polymorph	0.049	eV/atom
crystal system	monoclinic
density of states at the Fermi level	0.926	states/eV/atom
energy relative to the elements	132	meV/atom

Compound: KSrCa2
Source: Alexandria
Functional: GGA-PBEsol
Structure: relaxed

Structure (CIF):
```
data_KSrCa2
_chemical_formula_sum 'K3 Sr3 Ca6'
_symmetry_space_group_name_H-M 'R -3 m'
_symmetry_Int_Tables_number 166
_symmetry_space_group_name_Hall '-R 3 2"'
_cell_length_a 4.0280
_cell_length_b 4.0280
_cell_length_c 41.3137
_cell_angle_alpha 90.00
_cell_angle_beta 90.00
_cell_angle_gamma 120.00
loop_
_atom_site_label
_atom_site_type_symbol
_atom_site_fract_x
_atom_site_fract_y
_atom_site_fract_z
K1 K 0.0000 0.0000 0.0000
Sr1 Sr 0.0000 0.0000 0.5000
Ca1 Ca 0.0000 0.0000 0.2459
```

Computed properties:
E above lowest polymorph	0.009	eV/atom
crystal system	trigonal
density of states at the Fermi level	1.089	states/eV/atom
energy relative to the elements	92	meV/atom

Taking the records one at a time from the top gives V values of 29.6; 32.2; 30.2; 42.2; 49.6; 47.9; 48.1; 48.4 A^3/atom.
Taking the records one at a time from the top gives energy values of -2.601; -2.947; -2.434; -2.900; -2.566; -1.670; -1.678; -1.718 eV/atom.